Entry 1:
The following is a DFT calculation (PBE) of a geometry-optimized Hf4Sn2H structure.

Lattice parameters (Å, degrees): 3.2918 7.9487 10.5481 90.00 90.00 90.00
Element x y z (fractional)
Hf (0.0000, 0.6355, 0.8205)
Hf (0.0000, 0.3645, 0.1795)
Hf (0.0000, 0.1355, 0.6795)
Hf (0.0000, 0.8645, 0.3205)
Hf (0.5000, 0.8162, 0.5755)
Hf (0.5000, 0.1838, 0.4245)
Hf (0.5000, 0.6838, 0.0755)
Hf (0.5000, 0.3162, 0.9245)
Sn (0.5000, 0.9431, 0.8646)
Sn (0.5000, 0.0569, 0.1354)
Sn (0.5000, 0.4431, 0.6354)
Sn (0.5000, 0.5569, 0.3646)
H (0.0000, 0.0000, 0.5000)
H (0.0000, 0.5000, 0.0000)

magnetization = 0.00 μB/cell
mass density = 11.5 g cm⁻³
E_tot = -7.500 eV/atom


Entry 2:
The following is a DFT calculation (PBE) of a geometry-optimized SrTa2Hg structure.

Lattice parameters (Å, degrees): 10.0306 10.0306 10.0306 19.41 19.41 19.41
Element x y z (fractional)
Hg (0.5101, 0.5101, 0.5101)
Sr (0.7506, 0.7506, 0.7506)
Ta (0.9848, 0.9848, 0.9848)
Ta (0.2545, 0.2545, 0.2545)

magnetization = 0.00 μB/cell
mass density = 11.1 g cm⁻³
formation enthalpy at 0 K = 0.523 eV/atom
E_tot = -5.899 eV/atom